This record from Alexandria describes an optimized crystal structure of ErPu2Mn. The functional is GGA-PBE.

Structure (extended XYZ):
```
4
Lattice="5.1355 0.0000 0.0000 0.0000 4.3047 0.0000 0.0000 0.0000 4.3047" Properties=species:S:1:pos:R:3 pbc="T T T"
Pu 0.0000 2.1523 0.0000
Pu 0.0000 0.0000 2.1523
Mn 2.5677 0.0000 0.0000
Er 2.5677 2.1523 2.1523
```

Relative energy among the computed polymorphs in kJ/mol of atoms: 25.51
Energy relative to the elements in meV per atom: 396
Symmetry: P4/mmm (123)
Density of states at the Fermi level in states/eV/f.u.: 14.42
E_tot in eV/cell: -40.81

***

This record from Alexandria describes an optimized crystal structure of ZrAlIr. The functional is GGA-PBE.

Structure (extended XYZ):
```
3
Lattice="2.9879 0.0000 0.0000 -1.4940 2.5876 0.0000 0.0000 0.0000 6.7469" Properties=species:S:1:pos:R:3 pbc="T T T"
Zr 1.4940 0.8625 4.4383
Al 0.0000 0.0000 0.1783
Ir 0.0000 1.7251 2.1303
```

Energy relative to the elements in meV per atom: -319
Symmetry: P3m1 (156)
Density of states at the Fermi level in states/eV/f.u.: 3.44
E_tot in eV/cell: -22.11

***

This record from Alexandria describes an optimized crystal structure of Mg2InTe. The functional is GGA-PBE.

Structure (extended XYZ):
```
8
Lattice="8.0549 0.0000 0.0000 0.0000 8.0549 0.0000 4.0274 4.0274 3.3798" Properties=species:S:1:pos:R:3 pbc="T T T"
Mg 10.0686 10.1989 2.5349
Mg 6.1714 2.0137 0.8450
Te 8.0549 4.0274 1.6899
In 4.0274 4.0274 0.0000
Mg 6.0412 5.9109 2.5349
Mg 1.8835 6.0412 0.8450
In 4.0274 8.0549 1.6899
Te 0.0000 0.0000 0.0000
```

Relative energy among the computed polymorphs in kJ/mol of atoms: 5.80
E_form (uncorrected) in kJ per mole of atoms: -21
Symmetry: I-42d (122)
Density of states at the Fermi level in states/eV/f.u.: 1.43
E_tot in eV/cell: -19.91

***

This record from Alexandria describes an optimized crystal structure of TbY3Ru2. The functional is GGA-PBE.

Structure (extended XYZ):
```
12
Lattice="-1.7588 6.3645 -1.3456 -6.5732 -1.3560 2.1784 5.8798 -0.6998 5.8782" Properties=species:S:1:pos:R:3 pbc="T T T"
Ru -3.3147 1.5609 2.3981
Tb 0.0000 0.0000 0.0000
Ru 0.8625 2.7478 4.3130
Ru -1.6365 -0.7804 6.0047
Y -2.5227 2.8432 -0.1282
Ru -0.8157 5.0890 0.7063
Y -5.8093 2.1652 0.9610
Y -4.1218 -0.1662 4.6018
Tb -3.2866 -0.6780 1.0892
Y 1.6696 4.4748 2.1092
Y -1.6170 3.7968 3.1984
Y -0.8352 0.5118 3.5126
```

Energy relative to the elements in meV per atom: -212
Symmetry: Ibam (72)
Density of states at the Fermi level in states/eV/f.u.: 2.31
E_tot in eV/cell: -87.69

***

density of states at the Fermi level of number 4 (TbY3Ru2)? 2.31 states/eV/f.u.

***

Among the records above, which one has the lowest E_tot? TbY3Ru2